Entry 1:
Material: ScPtBr2
Method: DFT, GGA-PBE
State: relaxed

```
ScPtBr2
1.0
-2.3098 2.3098 8.6552
2.3098 -2.3098 8.6552
2.3098 2.3098 -8.6552
Sc Pt Br
2 2 4
direct
0.0000 0.0000 0.0000
0.7500 0.2500 0.5000
0.2500 0.7500 0.5000
0.5000 0.5000 0.0000
0.1264 0.6250 0.0014
0.3750 0.3764 0.5014
0.6236 0.1250 0.9986
0.8750 0.8736 0.4986
```

Uncorrected formation energy in eV/atom: -0.404
Space-group type: No. 122
Energy above the lowest structure with this stoichiometry in meV per atom: 443

---

Entry 2:
Material: ScPtBr2
Method: DFT, GGA-PBE
State: relaxed

```
ScPtBr2
1.0
3.5976 0.0000 0.0000
0.0000 3.5976 0.0000
0.0000 0.0000 7.8497
Sc Pt Br
1 1 2
direct
0.0000 0.0000 0.0000
0.5000 0.5000 0.8618
0.0000 0.0000 0.6641
0.5000 0.5000 0.2312
```

Uncorrected formation energy in eV/atom: -0.773
Space-group type: No. 99
Energy above the lowest structure with this stoichiometry in meV per atom: 75

---

Entry 3:
Material: ScPtBr2
Method: DFT, GGA-PBE
State: relaxed

```
ScPtBr2
1.0
1.7385 1.0037 8.6281
-1.7385 1.0037 8.6281
0.0000 -2.0075 8.6281
Sc Pt Br
1 1 2
direct
0.0000 0.0000 0.0000
0.5000 0.5000 0.5000
0.4034 0.4034 0.4034
0.5966 0.5966 0.5966
```

Uncorrected formation energy in eV/atom: -0.475
Space-group type: No. 166
Energy above the lowest structure with this stoichiometry in meV per atom: 373

---

Entry 4:
Material: ScPtBr2
Method: DFT, GGA-PBE
State: relaxed

```
ScPtBr2
1.0
2.0270 1.1703 7.6740
-2.0270 1.1703 7.6740
0.0000 -2.3405 7.6740
Sc Pt Br
1 1 2
direct
0.0000 0.0000 0.0000
0.2766 0.2766 0.2766
0.5542 0.5542 0.5542
0.7378 0.7378 0.7378
```

Uncorrected formation energy in eV/atom: -0.828
Space-group type: No. 160
Energy above the lowest structure with this stoichiometry in meV per atom: 19

---

| no. | final energy (eV/atom) | total moment (μB/f.u.) |
| --- | --- | --- |
| 1 | -4.33 | 0.0 |
| 2 | -4.70 | 0.0 |
| 3 | -4.40 | 0.0 |
| 4 | -4.76 | 0.4 |